[1]
First-principles (PBEsol) data for crystalline CuSb2Pb at its relaxed geometry, as listed in the Alexandria database.

```
CuSb2Pb
1.0
3.915 0.000 0.000
1.958 3.391 0.000
1.958 1.130 7.371
Sb Pb Cu
2 1 1
Direct
0.773 0.773 0.681 Sb
0.227 0.227 0.319 Sb
0.000 0.000 0.000 Pb
0.500 0.500 0.500 Cu
```

Summary:
ΔE_f (raw) = 0.08 eV per atom
Total magnetization = 0.00 μB per cell
D(E_F) = 1.9 states/eV/cell
Total DFT energy (no corrections) = -4.286 eV/atom

[2]
First-principles (PBEsol) data for crystalline CuSbPb2 at its relaxed geometry, as listed in the Alexandria database.

```
CuSbPb2
1.0
3.363 0.000 0.000
0.000 5.444 0.000
-1.681 -2.722 5.344
Pb Cu Sb
2 1 1
Direct
0.748 0.248 0.496 Pb
0.954 0.954 0.909 Pb
0.243 0.743 0.487 Cu
0.554 0.554 0.108 Sb
```

Summary:
ΔE_f (raw) = 0.17 eV per atom
Total magnetization = 0.00 μB per cell
D(E_F) = 2.0 states/eV/cell
Total DFT energy (no corrections) = -4.055 eV/atom

[3]
First-principles (PBEsol) data for crystalline Cu2SbPb at its relaxed geometry, as listed in the Alexandria database.

```
Cu2SbPb
1.0
4.070 0.000 0.000
2.035 3.521 0.111
2.035 0.959 5.994
Cu Sb Pb
2 1 1
Direct
0.708 0.708 0.875 Cu
0.027 0.027 0.919 Cu
0.291 0.294 0.124 Sb
0.474 0.471 0.582 Pb
```

Summary:
ΔE_f (raw) = 0.10 eV per atom
Total magnetization = 0.00 μB per cell
D(E_F) = 1.4 states/eV/cell
Total DFT energy (no corrections) = -4.211 eV/atom

[4]
First-principles (PBEsol) data for crystalline CuSbPb2 at its relaxed geometry, as listed in the Alexandria database.

```
CuSbPb2
1.0
-2.679 -1.915 -0.532
1.959 -2.695 -0.162
-0.883 -1.151 8.502
Sb Pb Cu
1 2 1
Direct
0.500 0.500 0.500 Sb
0.001 0.000 0.795 Pb
0.999 0.000 0.205 Pb
0.500 0.500 0.000 Cu
```

Summary:
ΔE_f (raw) = 0.21 eV per atom
Total magnetization = 0.00 μB per cell
D(E_F) = 2.3 states/eV/cell
Total DFT energy (no corrections) = -4.014 eV/atom